Record 1
# CaRu2Cl PBE relaxed
data_CaRu2Cl
_cell_length_a 3.729
_cell_length_b 5.513
_cell_length_c 8.159
_cell_angle_alpha 90.00
_cell_angle_beta 90.00
_cell_angle_gamma 90.00
_space_group_name_H-M_alt 'I m m 2'
_space_group_IT_number 44
loop_
_space_group_symop_operation_xyz
'x,y,z'
'-x,-y,z'
'-x,y,z'
'x,-y,z'
'x+1/2,y+1/2,z+1/2'
'-x+1/2,-y+1/2,z+1/2'
'-x+1/2,y+1/2,z+1/2'
'x+1/2,-y+1/2,z+1/2'
loop_
_atom_site_label
_atom_site_fract_x
_atom_site_fract_y
_atom_site_fract_z
Ca1 0.000 0.000 0.000
Ru1 0.000 0.000 0.485
Ru2 0.000 0.500 0.157
Cl1 0.000 0.500 0.768
# Fermi-level density of states in states/eV per atom: 1.204
# Uncorrected formation energy in meV per atom: 276
# Volume in Å³ per atom: 20.97
# Spin magnetization in μB/cell: 0.00



Record 2
# CaRu2Cl PBE relaxed
data_CaRu2Cl
_cell_length_a 3.0093
_cell_length_b 3.0093
_cell_length_c 26.3927
_cell_angle_alpha 90.00
_cell_angle_beta 90.00
_cell_angle_gamma 120.00
_space_group_name_H-M_alt 'R -3 m'
_space_group_IT_number 166
_space_group_name_Hall '-R 3 2"'
loop_
_atom_site_label
_atom_site_fract_x
_atom_site_fract_y
_atom_site_fract_z
Ca1 0.0000 0.0000 0.0000
Ru1 0.0000 0.0000 0.2407
Cl1 0.0000 0.0000 0.5000
# Fermi-level density of states in states/eV per atom: 1.710
# Uncorrected formation energy in meV per atom: 715
# Volume in Å³ per atom: 17.25
# Spin magnetization in μB/cell: 0.00



Record 3
# CaRuCl2 PBE relaxed
data_CaRuCl2
_cell_length_a 3.349
_cell_length_b 4.200
_cell_length_c 5.891
_cell_angle_alpha 90.00
_cell_angle_beta 90.00
_cell_angle_gamma 90.00
_space_group_name_H-M_alt 'P m m m'
_space_group_IT_number 47
loop_
_space_group_symop_operation_xyz
'x,y,z'
'-x,-y,-z'
'-x,-y,z'
'x,y,-z'
'x,-y,-z'
'-x,y,z'
'-x,y,-z'
'x,-y,z'
loop_
_atom_site_label
_atom_site_fract_x
_atom_site_fract_y
_atom_site_fract_z
Ca1 0.000 0.000 0.000
Ru1 0.500 0.000 0.500
Cl1 0.000 0.500 0.500
Cl2 0.500 0.500 0.000
# Fermi-level density of states in states/eV per atom: 0.790
# Uncorrected formation energy in meV per atom: -443
# Volume in Å³ per atom: 20.72
# Spin magnetization in μB/cell: 1.78



Record 4
# CaRuCl2 PBE relaxed
data_CaRuCl2
_cell_length_a 3.347
_cell_length_b 3.780
_cell_length_c 14.457
_cell_angle_alpha 90.00
_cell_angle_beta 90.00
_cell_angle_gamma 90.00
_space_group_name_H-M_alt 'I m m 2'
_space_group_IT_number 44
loop_
_space_group_symop_operation_xyz
'x,y,z'
'-x,-y,z'
'-x,y,z'
'x,-y,z'
'x+1/2,y+1/2,z+1/2'
'-x+1/2,-y+1/2,z+1/2'
'-x+1/2,y+1/2,z+1/2'
'x+1/2,-y+1/2,z+1/2'
loop_
_atom_site_label
_atom_site_fract_x
_atom_site_fract_y
_atom_site_fract_z
Ca1 0.000 0.000 0.000
Ru1 0.000 0.500 0.332
Cl1 0.000 0.000 0.587
Cl2 0.000 0.500 0.847
# Fermi-level density of states in states/eV per atom: 0.682
# Uncorrected formation energy in meV per atom: -577
# Volume in Å³ per atom: 22.86
# Spin magnetization in μB/cell: 2.33



Record 5
# CaRu2Cl PBE relaxed
data_CaRu2Cl
_cell_length_a 2.932
_cell_length_b 4.962
_cell_length_c 5.195
_cell_angle_alpha 90.00
_cell_angle_beta 90.00
_cell_angle_gamma 90.00
_space_group_name_H-M_alt 'P m m m'
_space_group_IT_number 47
loop_
_space_group_symop_operation_xyz
'x,y,z'
'-x,-y,-z'
'-x,-y,z'
'x,y,-z'
'x,-y,-z'
'-x,y,z'
'-x,y,-z'
'x,-y,z'
loop_
_atom_site_label
_atom_site_fract_x
_atom_site_fract_y
_atom_site_fract_z
Ca1 0.000 0.000 0.000
Ru1 0.500 0.257 0.500
Cl1 0.000 0.500 0.000
# Fermi-level density of states in states/eV per atom: 1.154
# Uncorrected formation energy in meV per atom: 468
# Volume in Å³ per atom: 18.89
# Spin magnetization in μB/cell: 0.00



Record 6
# CaRuCl2 PBE relaxed
data_CaRuCl2
_cell_length_a 3.785
_cell_length_b 3.785
_cell_length_c 11.468
_cell_angle_alpha 90.00
_cell_angle_beta 90.00
_cell_angle_gamma 90.00
_space_group_name_H-M_alt 'I -4 m 2'
_space_group_IT_number 119
_space_group_name_Hall 'I -4 -2'
loop_
_atom_site_label
_atom_site_fract_x
_atom_site_fract_y
_atom_site_fract_z
Ca1 0.000 0.000 0.000
Ru1 0.000 0.500 0.250
Cl1 0.000 0.000 0.500
Cl2 0.000 0.500 0.750
# Fermi-level density of states in states/eV per atom: 1.253
# Uncorrected formation energy in meV per atom: -385
# Volume in Å³ per atom: 20.54
# Spin magnetization in μB/cell: 3.22



Record 7
# CaRuCl2 PBE relaxed
data_CaRuCl2
_cell_length_a 4.038
_cell_length_b 4.507
_cell_length_c 4.713
_cell_angle_alpha 90.00
_cell_angle_beta 100.77
_cell_angle_gamma 90.00
_space_group_name_H-M_alt 'P 1 m 1'
_space_group_IT_number 6
loop_
_space_group_symop_operation_xyz
'x,y,z'
'x,-y,z'
loop_
_atom_site_label
_atom_site_fract_x
_atom_site_fract_y
_atom_site_fract_z
Ca1 0.000 0.000 0.000
Ru1 0.509 0.500 0.694
Cl1 0.382 0.000 0.592
Cl2 0.662 0.500 0.218
# Fermi-level density of states in states/eV per atom: 0.286
# Uncorrected formation energy in meV per atom: -626
# Volume in Å³ per atom: 21.06
# Spin magnetization in μB/cell: 0.00



Record 8
# CaRu2Cl PBE relaxed
data_CaRu2Cl
_cell_length_a 3.244
_cell_length_b 3.258
_cell_length_c 7.778
_cell_angle_alpha 90.00
_cell_angle_beta 101.81
_cell_angle_gamma 90.00
_space_group_name_H-M_alt 'P 1 m 1'
_space_group_IT_number 6
loop_
_space_group_symop_operation_xyz
'x,y,z'
'x,-y,z'
loop_
_atom_site_label
_atom_site_fract_x
_atom_site_fract_y
_atom_site_fract_z
Ca1 0.000 0.000 0.000
Ru1 0.359 0.500 0.710
Ru2 0.794 0.000 0.577
Cl1 0.604 0.500 0.211
# Fermi-level density of states in states/eV per atom: 0.966
# Uncorrected formation energy in meV per atom: -192
# Volume in Å³ per atom: 20.11
# Spin magnetization in μB/cell: 0.00



> Which value of Fermi-level density of states does entry 1 give?

1.204 states/eV per atom



> What is the Fermi-level density of states in the first record?

1.204 states/eV per atom



Copy entry 3 word for word.
# CaRuCl2 PBE relaxed
data_CaRuCl2
_cell_length_a 3.349
_cell_length_b 4.200
_cell_length_c 5.891
_cell_angle_alpha 90.00
_cell_angle_beta 90.00
_cell_angle_gamma 90.00
_space_group_name_H-M_alt 'P m m m'
_space_group_IT_number 47
loop_
_space_group_symop_operation_xyz
'x,y,z'
'-x,-y,-z'
'-x,-y,z'
'x,y,-z'
'x,-y,-z'
'-x,y,z'
'-x,y,-z'
'x,-y,z'
loop_
_atom_site_label
_atom_site_fract_x
_atom_site_fract_y
_atom_site_fract_z
Ca1 0.000 0.000 0.000
Ru1 0.500 0.000 0.500
Cl1 0.000 0.500 0.500
Cl2 0.500 0.500 0.000
# Fermi-level density of states in states/eV per atom: 0.790
# Uncorrected formation energy in meV per atom: -443
# Volume in Å³ per atom: 20.72
# Spin magnetization in μB/cell: 1.78



What did the sixth record say?
# CaRuCl2 PBE relaxed
data_CaRuCl2
_cell_length_a 3.785
_cell_length_b 3.785
_cell_length_c 11.468
_cell_angle_alpha 90.00
_cell_angle_beta 90.00
_cell_angle_gamma 90.00
_space_group_name_H-M_alt 'I -4 m 2'
_space_group_IT_number 119
_space_group_name_Hall 'I -4 -2'
loop_
_atom_site_label
_atom_site_fract_x
_atom_site_fract_y
_atom_site_fract_z
Ca1 0.000 0.000 0.000
Ru1 0.000 0.500 0.250
Cl1 0.000 0.000 0.500
Cl2 0.000 0.500 0.750
# Fermi-level density of states in states/eV per atom: 1.253
# Uncorrected formation energy in meV per atom: -385
# Volume in Å³ per atom: 20.54
# Spin magnetization in μB/cell: 3.22